1.
! KLi2Cl3 (PBE, optimized geometry); values from VASP
&SYSTEM
  ibrav = 0, nat = 12, ntyp = 3
/
ATOMIC_SPECIES
K 39.10 K.upf
Li 6.94 Li.upf
Cl 35.45 Cl.upf
ATOMIC_POSITIONS angstrom
K 2.400 0.000 3.019
K 18.829 0.000 3.795
Li 4.628 0.000 0.099
Li 10.110 0.000 0.667
Li 11.119 0.000 6.147
Li 16.602 0.000 6.715
Cl 0.888 0.000 5.727
Cl 4.752 0.000 5.422
Cl 8.959 0.000 5.188
Cl 12.270 0.000 1.626
Cl 16.477 0.000 1.392
Cl 20.341 0.000 1.087
CELL_PARAMETERS angstrom
11.505 -2.056 0.000
11.505 2.056 0.000
-1.781 0.000 6.814
! Calculated volume in Å³ per cell: 322.4
! DFT total energy in eV/atom: -3.57
! Raw formation energy in eV per atom: -1.8210

=====

2.
! La2AsRu (PBE, optimized geometry); values from VASP
&SYSTEM
  ibrav = 0, nat = 4, ntyp = 3
/
ATOMIC_SPECIES
La 138.91 La.upf
As 74.92 As.upf
Ru 101.07 Ru.upf
ATOMIC_POSITIONS angstrom
La 0.000 0.000 0.000
La 0.000 2.210 2.812
As 1.902 0.000 3.797
Ru 0.000 0.000 5.503
CELL_PARAMETERS angstrom
-1.902 2.210 6.001
1.902 -2.210 6.001
1.902 2.210 -6.001
! Calculated volume in Å³ per cell: 100.9
! DFT total energy in eV/atom: -6.60
! Formation enthalpy at 0 K in eV per atom: -0.655

=====

3.
! CaTcRu2 (PBE, optimized geometry); values from VASP
&SYSTEM
  ibrav = 0, nat = 4, ntyp = 3
/
ATOMIC_SPECIES
Ca 40.08 Ca.upf
Tc 98.00 Tc.upf
Ru 101.07 Ru.upf
ATOMIC_POSITIONS angstrom
Ca 0.000 0.000 0.000
Tc 0.000 1.955 2.146
Ru 1.955 0.000 2.146
Ru 0.000 0.000 4.292
CELL_PARAMETERS angstrom
-1.955 1.955 4.292
1.955 -1.955 4.292
1.955 1.955 -4.292
! Calculated volume in Å³ per cell: 65.6
! DFT total energy in eV/atom: -7.08
! Formation enthalpy at 0 K in eV per atom: 0.647

=====

4.
! NbP2IrCl (PBE, optimized geometry); values from VASP
&SYSTEM
  ibrav = 0, nat = 5, ntyp = 4
/
ATOMIC_SPECIES
Nb 92.91 Nb.upf
P 30.97 P.upf
Ir 192.22 Ir.upf
Cl 35.45 Cl.upf
ATOMIC_POSITIONS angstrom
Nb 0.000 0.000 0.000
P 0.000 2.294 2.342
P 2.294 0.000 2.342
Ir 2.294 2.294 2.342
Cl 2.294 2.294 0.000
CELL_PARAMETERS angstrom
4.588 0.000 0.000
0.000 4.588 0.000
0.000 0.000 4.684
! Calculated volume in Å³ per cell: 98.6
! DFT total energy in eV/atom: -5.45
! Raw formation energy in eV per atom: 0.8670

=====

5.
! AcTl3Sb2O9 (PBE, optimized geometry); values from VASP
&SYSTEM
  ibrav = 0, nat = 15, ntyp = 4
/
ATOMIC_SPECIES
Ac 227.00 Ac.upf
Tl 204.38 Tl.upf
Sb 121.76 Sb.upf
O 16.00 O.upf
ATOMIC_POSITIONS angstrom
Ac 0.000 0.000 0.000
Tl 0.000 0.000 3.917
Tl 0.000 3.424 1.636
Tl 2.965 1.712 6.197
Sb 0.000 3.424 5.110
Sb 2.965 1.712 2.723
O -1.483 2.568 3.917
O 0.000 1.762 6.143
O -1.439 4.255 6.143
O 1.526 0.881 1.691
O 2.965 0.000 3.917
O 1.483 2.568 3.917
O 1.439 4.255 6.143
O 4.405 0.881 1.691
O 2.965 3.374 1.691
CELL_PARAMETERS angstrom
5.930 0.000 0.000
-2.965 5.136 0.000
0.000 0.000 7.834
! Calculated volume in Å³ per cell: 238.6
! DFT total energy in eV/atom: -5.59
! Raw formation energy in eV per atom: -1.3229

=====

6.
! Rb4ZrSc3S8 (PBE, optimized geometry); values from VASP
&SYSTEM
  ibrav = 0, nat = 16, ntyp = 4
/
ATOMIC_SPECIES
Rb 85.47 Rb.upf
Zr 91.22 Zr.upf
Sc 44.96 Sc.upf
S 32.06 S.upf
ATOMIC_POSITIONS angstrom
Rb 0.000 0.000 0.000
Rb -1.926 -1.112 7.639
Rb -1.926 1.112 15.279
Rb 0.000 2.223 7.639
Zr 0.000 0.000 11.459
Sc -3.851 0.000 11.459
Sc -1.926 1.112 3.820
Sc 1.926 1.112 3.820
S 0.000 0.000 5.221
S -1.918 -1.108 12.881
S 0.000 -2.215 10.037
S -1.918 1.108 10.037
S 1.918 -1.108 12.881
S 0.000 2.215 12.881
S 1.918 1.108 10.037
S 0.000 0.000 17.698
CELL_PARAMETERS angstrom
3.851 2.223 7.639
-3.851 2.223 7.639
0.000 -4.447 7.639
! Calculated volume in Å³ per cell: 392.6
! DFT total energy in eV/atom: -5.67
! Raw formation energy in eV per atom: -1.6404

=====

7.
! Ac8Nd5Er (PBE, optimized geometry); values from VASP
&SYSTEM
  ibrav = 0, nat = 14, ntyp = 3
/
ATOMIC_SPECIES
Ac 227.00 Ac.upf
Nd 144.24 Nd.upf
Er 167.26 Er.upf
ATOMIC_POSITIONS angstrom
Ac 0.000 0.000 0.000
Ac -1.849 6.234 2.399
Ac 0.008 3.677 4.686
Ac 1.866 3.061 1.226
Ac 3.788 -0.030 0.120
Ac 1.897 1.106 7.207
Ac 3.824 3.672 4.608
Ac 5.719 0.275 3.586
Nd -1.873 1.096 7.288
Nd 1.917 0.192 3.571
Nd 1.900 6.288 2.457
Nd 3.801 -2.028 5.931
Nd 5.697 3.025 1.148
Er 0.023 -2.037 5.931
CELL_PARAMETERS angstrom
7.590 0.000 0.000
-1.904 9.062 0.000
-1.890 -4.427 8.270
! Calculated volume in Å³ per cell: 568.9
! DFT total energy in eV/atom: -4.31
! Formation enthalpy at 0 K in eV per atom: 0.068

=====

8.
! FeNi4Rh4 (PBE, optimized geometry); values from VASP
&SYSTEM
  ibrav = 0, nat = 9, ntyp = 3
/
ATOMIC_SPECIES
Fe 55.84 Fe.upf
Ni 58.69 Ni.upf
Rh 102.91 Rh.upf
ATOMIC_POSITIONS angstrom
Fe 0.000 0.000 0.000
Ni 2.667 0.000 0.000
Ni 5.227 0.000 0.000
Ni 0.000 2.667 0.000
Ni 0.000 5.227 0.000
Rh 2.640 2.640 0.000
Rh 1.307 -1.307 1.830
Rh -1.307 1.307 1.830
Rh 1.307 1.307 1.830
CELL_PARAMETERS angstrom
-3.947 3.947 1.830
3.947 -3.947 1.830
3.947 3.947 -1.830
! Calculated volume in Å³ per cell: 114.0
! DFT total energy in eV/atom: -6.76
! Formation enthalpy at 0 K in eV per atom: 0.015